The following is a DFT calculation (PBE) of an optimized crystal structure of HfGa2RhC.

Unit cell a=4.9018 b=3.7506 c=4.9018 alpha=90.00 beta=90.00 gamma=90.00
Closest atoms and distances in Å follow each position.
Fractional positions:
1 Rh 0.0000 0.0000 0.0000  2 C 1.88
2 C 0.0000 0.5000 0.0000  2 Rh 1.88
3 Hf 0.5000 0.5000 0.5000  8 Ga 3.09
4 Ga 0.0000 0.0000 0.5000  2 Rh 2.45
5 Ga 0.5000 0.0000 0.0000  2 Rh 2.45

Properties
E_form: 0.667 eV per atom
Theoretical density: 8.0 g cm⁻³